DFT (PBE) results for a geometry-optimized La2Nd2DyY structure.

Properties
Total magnetic moment: 0.000 μB per formula unit
Energy relative to the elements: 0.05 eV per atom

a b c (Å): 5.7732 10.0137 7.1596
angles (deg): 90.00 90.00 90.00
Closest atoms and distances in Å follow each position.
Space group Pmc2_1 (No. 26)
Symmetry-distinct sites (fractional):
La  0.0000  0.0005  0.0000 [2 per cell]  6 La 3.58-3.82, 6 Nd 3.77-3.78, 2 Dy 3.86-3.87
La  0.5000  0.1751  0.2502 [2 per cell]  5 Nd 3.29-3.59
Nd  0.0000  0.3317  0.2501 [2 per cell]  3 Dy 3.26-3.58, 2 La 3.29
Nd  0.5000  0.1648  0.7497 [2 per cell]  2 Dy 3.39, 7 La 3.40-3.78
Dy  0.0000  0.3423  0.7497 [2 per cell]  5 Nd 3.26-3.58
Y  0.5000  0.4999  0.9998 [2 per cell]  2 Y 3.58, 2 La 3.71, 4 Dy 3.75, 6 Nd 3.79-3.80


DFT (PBE) results for a geometry-optimized Sr3Pr4Te8 structure.

Properties
Energy relative to the elements, uncorrected: -1.5527 eV/atom
Total magnetic moment: 0.000 μB per formula unit

a b c (Å): 12.9999 13.0313 9.1570
angles (deg): 90.00 134.49 90.00
Closest atoms and distances in Å follow each position.
Space group C2/m (No. 12)
Symmetry-distinct sites (fractional):
Sr  0.0000  0.0000  0.0000 [2 per cell]  6 Te 3.29-3.31
Sr  0.2500  0.2500  0.0000 [4 per cell]  6 Te 3.25-3.27
Pr  0.0000  0.5000  0.0000 [2 per cell]  6 Te 3.19-3.23
Pr  0.0000  0.5000  0.5000 [2 per cell]  6 Te 3.22-3.26
Pr  0.2500  0.2500  0.5000 [4 per cell]  6 Te 3.25-3.27
Te  0.0000  0.2507  0.5000 [4 per cell]  3 Pr 3.25, 2 Sr 3.27
Te  0.0000  0.2525  0.0000 [4 per cell]  3 Pr 3.23-3.27, 3 Sr 3.25-3.29
Te  0.2423  0.5000  0.9934 [4 per cell]  2 Pr 3.19-3.22, 3 Sr 3.26-3.31
Te  0.2479  0.5000  0.4937 [4 per cell]  4 Pr 3.23-3.26, 1 Sr 3.31


no.,electronic total energy (eV/f.u.),Fermi-level density of states (states/eV per cell)
1,-30.17,18.8
2,-72.59,9.3